Entry 1:
First-principles (PBE) data for a relaxed K2Tl5Sn3 crystal, as listed in Alexandria.

The structure belongs to space group Ibam (No. 72); the cell edges are 12.4518, 15.1995 and 7.3684 Å and the angles 90.00°, 90.00° and 90.00°. The asymmetric unit holds K at (0.2484, 0.1252, 0.0000), Tl at (0.0000, 0.2529, 0.2500), Tl at (0.0000, 0.5000, 0.2500), Tl at (0.1315, 0.1195, 0.5000), Sn at (0.0000, 0.0000, 0.2500) and Sn at (0.1323, 0.3762, 0.0000).

The formation energy is -0.070 eV/atom. The calculation puts the calculated volume at 34.9 Å³/atom. Its crystal system is orthorhombic.


Entry 2:
First-principles (PBE) data for a relaxed K2LiCd6Ag crystal, as listed in Alexandria.

The structure belongs to space group P-1 (No. 2); the cell edges are 7.4035, 7.4854 and 7.5020 Å and the angles 90.43°, 119.32° and 119.59°. The asymmetric unit holds K at (0.1321, 0.3158, 0.1853), Li at (0.5000, 0.0000, 0.5000), Cd at (0.0150, 0.1794, 0.6204), Cd at (0.2833, 0.6636, 0.6797), Cd at (0.4409, 0.1185, 0.8357) and Ag at (0.5000, 0.5000, 0.0000).

The formation energy is -0.071 eV/atom. The calculation puts the calculated volume at 29.8 Å³/atom. Its crystal system is triclinic.


Entry 3:
First-principles (PBE) data for a relaxed Sm3Ge3Pd2 crystal, as listed in Alexandria.

The structure belongs to space group Cmcm (No. 63); the cell edges are 4.3969, 10.7116 and 14.7099 Å and the angles 90.00°, 90.00° and 90.00°. The asymmetric unit holds Sm at (0.0000, 0.0919, 0.1087), Sm at (0.0000, 0.3666, 0.2500), Ge at (0.0000, 0.3404, 0.7500), Ge at (0.0000, 0.3894, 0.0389) and Pd at (0.0000, 0.2002, 0.5999).

The formation energy is -0.928 eV/atom. The calculation puts the calculated volume at 21.7 Å³/atom. Its energy above the most stable polymorph in this dataset is 0 meV/atom. Its crystal system is orthorhombic.